[1]
Below is a relaxed Tl3In5O12 crystal, with properties calculated at the PBE level.

Output
Size of the total moment = 0.0000 μB per atom
Formation energy from raw total energies = -1.086 eV per atom

Unit cell a=11.529 b=11.529 c=11.529 alpha=109.47 beta=109.47 gamma=109.47
Fractional positions:
Tl (0.125, 0.250, 0.375)
Tl (0.125, 0.375, 0.750)
Tl (0.250, 0.375, 0.125)
Tl (0.250, 0.875, 0.625)
Tl (0.375, 0.125, 0.250)
Tl (0.375, 0.750, 0.125)
Tl (0.625, 0.250, 0.875)
Tl (0.625, 0.875, 0.750)
Tl (0.750, 0.125, 0.375)
Tl (0.750, 0.625, 0.875)
Tl (0.875, 0.625, 0.250)
Tl (0.875, 0.750, 0.625)
In (0.000, 0.000, 0.000)
In (0.000, 0.000, 0.500)
In (0.000, 0.500, 0.000)
In (0.000, 0.500, 0.500)
In (0.125, 0.750, 0.875)
In (0.125, 0.875, 0.250)
In (0.250, 0.125, 0.875)
In (0.250, 0.625, 0.375)
In (0.375, 0.250, 0.625)
In (0.375, 0.625, 0.750)
In (0.500, 0.000, 0.000)
In (0.500, 0.000, 0.500)
In (0.500, 0.500, 0.000)
In (0.500, 0.500, 0.500)
In (0.625, 0.375, 0.250)
In (0.625, 0.750, 0.375)
In (0.750, 0.375, 0.625)
In (0.750, 0.875, 0.125)
In (0.875, 0.125, 0.750)
In (0.875, 0.250, 0.125)
O (0.038, 0.210, 0.135)
O (0.038, 0.328, 0.903)
O (0.075, 0.710, 0.672)
O (0.075, 0.865, 0.403)
O (0.097, 0.635, 0.425)
O (0.097, 0.962, 0.672)
O (0.135, 0.038, 0.210)
O (0.135, 0.597, 0.925)
O (0.172, 0.210, 0.575)
O (0.172, 0.462, 0.597)
O (0.210, 0.135, 0.038)
O (0.210, 0.575, 0.172)
O (0.290, 0.328, 0.925)
O (0.290, 0.462, 0.365)
O (0.328, 0.903, 0.038)
O (0.328, 0.925, 0.290)
O (0.365, 0.290, 0.462)
O (0.365, 0.575, 0.903)
O (0.403, 0.075, 0.865)
O (0.403, 0.828, 0.538)
O (0.425, 0.097, 0.635)
O (0.425, 0.828, 0.790)
O (0.462, 0.365, 0.290)
O (0.462, 0.597, 0.172)
O (0.538, 0.403, 0.828)
O (0.538, 0.635, 0.710)
O (0.575, 0.172, 0.210)
O (0.575, 0.903, 0.365)
O (0.597, 0.172, 0.462)
O (0.597, 0.925, 0.135)
O (0.635, 0.425, 0.097)
O (0.635, 0.710, 0.538)
O (0.672, 0.075, 0.710)
O (0.672, 0.097, 0.962)
O (0.710, 0.538, 0.635)
O (0.710, 0.672, 0.075)
O (0.790, 0.425, 0.828)
O (0.790, 0.865, 0.962)
O (0.828, 0.538, 0.403)
O (0.828, 0.790, 0.425)
O (0.865, 0.403, 0.075)
O (0.865, 0.962, 0.790)
O (0.903, 0.038, 0.328)
O (0.903, 0.365, 0.575)
O (0.925, 0.135, 0.597)
O (0.925, 0.290, 0.328)
O (0.962, 0.672, 0.097)
O (0.962, 0.790, 0.865)

---

[2]
Below is a relaxed Ca2TaHg crystal, with properties calculated at the PBE level.

Output
Size of the total moment = 0.0000 μB per atom
Formation enthalpy at 0 K = 266 meV per atom

Unit cell a=3.279 b=3.279 c=9.404 alpha=90.00 beta=90.00 gamma=90.00
Fractional positions:
Ca (0.000, 0.000, 0.249)
Ca (0.000, 0.000, 0.751)
Ta (0.500, 0.500, 0.500)
Hg (0.500, 0.500, 0.000)

---

[3]
Below is a relaxed SmPaPb2 crystal, with properties calculated at the PBE level.

Output
Size of the total moment = 0.6315 μB per atom
Formation enthalpy at 0 K = -70 meV per atom
Energy above the lowest structure with this stoichiometry = 0.39 eV per formula unit

Unit cell a=5.466 b=5.466 c=5.466 alpha=60.00 beta=60.00 gamma=60.00
Fractional positions:
Sm (0.000, 0.000, 0.000)
Pa (0.500, 0.500, 0.500)
Pb (0.250, 0.250, 0.250)
Pb (0.750, 0.750, 0.750)

---

[4]
Below is a relaxed TlGaOs2W crystal, with properties calculated at the PBE level.

Output
Size of the total moment = 0.0021 μB per atom
Formation enthalpy at 0 K = 1579 meV per atom

Unit cell a=4.793 b=4.793 c=4.986 alpha=90.00 beta=90.00 gamma=90.00
Fractional positions:
Tl (0.000, 0.000, 0.000)
Ga (0.500, 0.500, 0.000)
Os (0.000, 0.500, 0.500)
Os (0.500, 0.000, 0.500)
W (0.500, 0.500, 0.500)

---

[5]
Below is a relaxed Pm6In5Ag crystal, with properties calculated at the PBE level.

Output
Size of the total moment = 0.0000 μB per atom
Formation enthalpy at 0 K = -450 meV per atom

Unit cell a=8.590 b=8.590 c=7.662 alpha=90.00 beta=90.00 gamma=143.14
Fractional positions:
Pm (0.000, 0.000, 0.245)
Pm (0.000, 0.000, 0.755)
Pm (0.336, 0.664, 0.247)
Pm (0.336, 0.664, 0.753)
Pm (0.664, 0.336, 0.247)
Pm (0.664, 0.336, 0.753)
In (0.165, 0.835, 0.000)
In (0.167, 0.833, 0.500)
In (0.500, 0.500, 0.500)
In (0.833, 0.167, 0.500)
In (0.835, 0.165, 0.000)
Ag (0.500, 0.500, 0.000)

---

[6]
Below is a relaxed GaNi2Pd crystal, with properties calculated at the PBE level.

Output
Size of the total moment = 0.1830 μB per atom
Formation enthalpy at 0 K = -309 meV per atom

Unit cell a=3.698 b=3.698 c=3.741 alpha=90.00 beta=90.00 gamma=90.00
Fractional positions:
Ga (0.000, 0.000, 0.000)
Ni (0.000, 0.500, 0.500)
Ni (0.500, 0.000, 0.500)
Pd (0.500, 0.500, 0.000)